[1]
HfAg2MoO | PBE+U | optimized geometry

Summary:
The total energy comes out at -25.6 eV for the cell shown. The calculation puts the total magnetization at 0.2108 μB/atom.

```
data_HfAg2MoO
_chemical_formula_sum 'Hf1 Ag2 Mo1 O1'
_cell_length_a 4.653
_cell_length_b 4.653
_cell_length_c 4.039
_cell_angle_alpha 90.00
_cell_angle_beta 90.00
_cell_angle_gamma 90.00
_symmetry_space_group_name_H-M 'P 4/m m m'
_symmetry_Int_Tables_number 123
_symmetry_space_group_name_Hall '-P 4 2'
loop_
_atom_site_label
_atom_site_type_symbol
_atom_site_fract_x
_atom_site_fract_y
_atom_site_fract_z
Hf1 Hf 0.000 0.000 0.000
Ag1 Ag 0.000 0.500 0.500
Mo1 Mo 0.500 0.500 0.000
O1 O 0.500 0.500 0.500
```



[2]
HfAgMoO6 | PBE+U | optimized geometry

Summary:
The total energy comes out at -131.3 eV for the cell shown. The calculation puts the total magnetization at 0.0000 μB/atom.

```
data_HfAgMoO6
_chemical_formula_sum 'Hf2 Ag2 Mo2 O12'
_cell_length_a 5.658
_cell_length_b 8.956
_cell_length_c 4.990
_cell_angle_alpha 90.00
_cell_angle_beta 100.98
_cell_angle_gamma 90.00
_symmetry_space_group_name_H-M 'C 1 2 1'
_symmetry_Int_Tables_number 5
_symmetry_space_group_name_Hall 'C 2y'
loop_
_atom_site_label
_atom_site_type_symbol
_atom_site_fract_x
_atom_site_fract_y
_atom_site_fract_z
Hf1 Hf 0.000 0.000 0.000
Ag1 Ag 0.000 0.669 0.500
Mo1 Mo 0.000 0.337 0.000
O1 O 0.069 0.185 0.772
O2 O 0.144 0.494 0.792
O3 O 0.166 0.849 0.782
```